Entry from Alexandria via LeMat-Bulk: a relaxed LiInGa14 crystal (GGA-PBE).

Its crystal system is orthorhombic. The calculation puts the electronic total energy at -2.951 eV per atom. The calculation puts the formation energy at -0.2 eV/f.u.

The structure belongs to space group Cmmm (No. 65); the cell edges are 8.260, 9.164 and 8.041 Å and the angles 90.00°, 90.00° and 90.00°. The inequivalent atoms are Li at (0.000, 0.000, 0.000), In at (0.000, 0.500, 0.000), Ga at (0.000, 0.000, 0.500), Ga at (0.000, 0.239, 0.253), Ga at (0.000, 0.500, 0.500), Ga at (0.244, 0.000, 0.257), Ga at (0.250, 0.250, 0.000) and Ga at (0.250, 0.250, 0.500).

Entry from Alexandria via LeMat-Bulk: a relaxed Li2InGa crystal (GGA-PBE).

Its crystal system is cubic. The calculation puts the electronic total energy at -2.657 eV per atom. The calculation puts the formation energy at -1.0 eV/f.u.

The structure belongs to space group Fm-3m (No. 225); the cell edges are 6.551, 6.551 and 6.551 Å and the angles 90.00°, 90.00° and 90.00°. The inequivalent atoms are Li at (0.250, 0.250, 0.250), In at (0.000, 0.000, 0.000) and Ga at (0.000, 0.000, 0.500).

Entry from Alexandria via LeMat-Bulk: a relaxed LiIn3Ga crystal (GGA-PBE).

For the energy above the most stable polymorph in this dataset, the calculation gives 249 meV per atom. Its crystal system is cubic. The calculation puts the electronic total energy at -2.433 eV per atom. The calculation puts the formation energy at 1.0 eV/f.u.

The structure belongs to space group Pm-3m (No. 221); the cell edges are 5.045, 5.045 and 5.045 Å and the angles 90.00°, 90.00° and 90.00°. The inequivalent atoms are Li at (0.000, 0.000, 0.000), In at (0.000, 0.000, 0.500) and Ga at (0.500, 0.500, 0.500).

Entry from Alexandria via LeMat-Bulk: a relaxed LiIn2Ga crystal (GGA-PBE).

Its crystal system is tetragonal. The calculation puts the electronic total energy at -2.701 eV per atom. The calculation puts the formation energy at -0.4 eV/f.u.

The structure belongs to space group P4/mmm (No. 123); the cell edges are 3.539, 3.539 and 6.978 Å and the angles 90.00°, 90.00° and 90.00°. The inequivalent atoms are Li at (0.000, 0.000, 0.000), In at (0.500, 0.500, 0.248) and Ga at (0.000, 0.000, 0.500).

Entry from Alexandria via LeMat-Bulk: a relaxed LiInGa3 crystal (GGA-PBE).

For the energy above the most stable polymorph in this dataset, the calculation gives 56 meV per atom. Its crystal system is orthorhombic. The calculation puts the electronic total energy at -2.806 eV per atom. The calculation puts the formation energy at -0.3 eV/f.u.

The structure belongs to space group Cmcm (No. 63); the cell edges are 4.225, 24.200 and 4.286 Å and the angles 90.00°, 90.00° and 90.00°. The inequivalent atoms are Li at (0.000, 0.071, 0.250), In at (0.000, 0.204, 0.750), Ga at (0.000, 0.318, 0.750), Ga at (0.000, 0.375, 0.250) and Ga at (0.000, 0.476, 0.250).

Entry from Alexandria via LeMat-Bulk: a relaxed LiIn4Ga crystal (GGA-PBE).

For the energy above the most stable polymorph in this dataset, the calculation gives 35 meV per atom. Its crystal system is monoclinic. The calculation puts the electronic total energy at -2.673 eV per atom. The calculation puts the formation energy at -0.1 eV/f.u.

The structure belongs to space group C2/m (No. 12); the cell edges are 9.024, 4.891 and 8.137 Å and the angles 90.00°, 123.04° and 90.00°. The inequivalent atoms are Li at (0.000, 0.000, 0.000), In at (0.137, 0.500, 0.922), In at (0.227, 0.000, 0.615) and Ga at (0.000, 0.500, 0.500).

Entry from Alexandria via LeMat-Bulk: a relaxed Li2In7Ga2 crystal (GGA-PBE).

For the energy above the most stable polymorph in this dataset, the calculation gives 0 meV per atom. Its crystal system is monoclinic. The calculation puts the electronic total energy at -2.654 eV per atom. The calculation puts the formation energy at -0.1 eV/f.u.

The structure belongs to space group C2/m (No. 12); the cell edges are 10.088, 11.634 and 5.524 Å and the angles 90.00°, 122.62° and 90.00°. The inequivalent atoms are Li at (0.000, 0.140, 0.000), In at (0.000, 0.000, 0.500), In at (0.177, 0.240, 0.683), In at (0.200, 0.500, 0.530) and Ga at (0.141, 0.500, 0.972).

Entry from Alexandria via LeMat-Bulk: a relaxed Li8InGa2 crystal (GGA-PBE).

For the energy above the most stable polymorph in this dataset, the calculation gives 98 meV per atom. Its crystal system is monoclinic. The calculation puts the electronic total energy at -2.337 eV per atom. The calculation puts the formation energy at -1.6 eV/f.u.

The structure belongs to space group C2/m (No. 12); the cell edges are 7.428, 13.716 and 4.648 Å and the angles 90.00°, 127.24° and 90.00°. The inequivalent atoms are Li at (0.000, 0.208, 0.000), Li at (0.060, 0.500, 0.790), Li at (0.228, 0.136, 0.707), In at (0.000, 0.000, 0.000) and Ga at (0.000, 0.318, 0.500).